1.
Crystalline AgHN3 at its relaxed geometry, computed with GGA-PBE.

Cell and atoms, written as CIF:
```
data_AgHN3
_cell_length_a 3.447
_cell_length_b 3.447
_cell_length_c 3.447
_cell_angle_alpha 90.00
_cell_angle_beta 90.00
_cell_angle_gamma 90.00
_symmetry_space_group_name_H-M 'P 1'
_symmetry_Int_Tables_number 1
_symmetry_space_group_name_Hall 'P 1'
loop_
_atom_site_label
_atom_site_fract_x
_atom_site_fract_y
_atom_site_fract_z
_atom_site_occupancy
Ag1 0.000 0.000 0.000 1
H1 0.500 0.500 0.500 1
N1 0.000 0.500 0.500 1
N2 0.500 0.000 0.500 1
N3 0.500 0.500 0.000 1
```

## Properties
space-group type: Pm-3m (221)
final energy: -18.00 eV for the cell shown
calculated volume: 8.19 Å³/atom



2.
Crystalline Li4HfTi3Se8 at its relaxed geometry, computed with GGA-PBE.

Cell and atoms, written as CIF:
```
data_Li4HfTi3Se8
_cell_length_a 7.778
_cell_length_b 7.778
_cell_length_c 7.778
_cell_angle_alpha 56.88
_cell_angle_beta 56.88
_cell_angle_gamma 56.88
_symmetry_space_group_name_H-M 'P 1'
_symmetry_Int_Tables_number 1
_symmetry_space_group_name_Hall 'P 1'
loop_
_atom_site_label
_atom_site_fract_x
_atom_site_fract_y
_atom_site_fract_z
_atom_site_occupancy
Li1 0.000 0.000 0.000 1
Li2 0.000 0.500 0.500 1
Li3 0.500 0.000 0.500 1
Li4 0.500 0.500 0.000 1
Hf1 0.500 0.500 0.500 1
Ti1 0.000 0.000 0.500 1
Ti2 0.000 0.500 0.000 1
Ti3 0.500 0.000 0.000 1
Se1 0.242 0.750 0.750 1
Se2 0.246 0.246 0.246 1
Se3 0.250 0.250 0.758 1
Se4 0.250 0.758 0.250 1
Se5 0.750 0.242 0.750 1
Se6 0.750 0.750 0.242 1
Se7 0.754 0.754 0.754 1
Se8 0.758 0.250 0.250 1
```

## Properties
ΔE_f (raw): -1.228 eV per atom
space-group type: R-3m (166)
calculated volume: 19.30 Å³/atom



3.
Crystalline BeHgPt3 at its relaxed geometry, computed with GGA-PBE.

Cell and atoms, written as CIF:
```
data_BeHgPt3
_cell_length_a 3.729
_cell_length_b 3.729
_cell_length_c 6.979
_cell_angle_alpha 90.00
_cell_angle_beta 90.00
_cell_angle_gamma 90.00
_symmetry_space_group_name_H-M 'P 1'
_symmetry_Int_Tables_number 1
_symmetry_space_group_name_Hall 'P 1'
loop_
_atom_site_label
_atom_site_fract_x
_atom_site_fract_y
_atom_site_fract_z
_atom_site_occupancy
Be1 0.000 0.000 0.000 1
Hg1 0.500 0.500 0.454 1
Pt1 0.000 0.500 0.781 1
Pt2 0.500 0.000 0.781 1
Pt3 0.500 0.500 0.079 1
```

## Properties
space-group type: P4mm (99)
ΔE_f: 21 kJ/mol of formula units
energy above the lowest structure with this stoichiometry: 347 meV per atom
calculated volume: 19.41 Å³/atom